DFT (SCAN) results for a crystal of SbTe2AsSe relaxed with PBEsol.

The volume comes out at 151.2 Å³ per cell. The total magnetization is 0.08 μB per formula unit. For the uncorrected formation energy, the calculation gives 925 meV/atom.

It has space group P4/mmm (No. 123), with a = 5.367 Å, b = 5.367 Å, c = 5.251 Å, α = 90.00°, β = 90.00° and γ = 90.00°. The distinct sites, in fractional coordinates, are Sb at (0.000, 0.000, 0.000), Te at (0.000, 0.500, 0.500), As at (0.500, 0.500, 0.000) and Se at (0.000, 0.000, 0.500).